[1]
Density functional theory data (PBE-GGA) for an optimized crystal structure of Ho2Si7Au12.

Cell and atoms, written as CIF:
```
data_Ho2Si7Au12
_cell_length_a 4.321
_cell_length_b 10.171
_cell_length_c 10.171
_cell_angle_alpha 120.00
_cell_angle_beta 90.00
_cell_angle_gamma 90.00
_symmetry_space_group_name_H-M 'P 1'
_symmetry_Int_Tables_number 1
loop_
_symmetry_equiv_pos_as_xyz
'x,y,z'
loop_
_atom_site_label
_atom_site_fract_x
_atom_site_fract_y
_atom_site_fract_z
_atom_site_occupancy
Ho1 0.244 0.333 0.667 1
Ho2 0.756 0.667 0.333 1
Si1 0.500 0.000 0.000 1
Si2 0.281 0.886 0.283 1
Si3 0.281 0.396 0.114 1
Si4 0.281 0.717 0.604 1
Si5 0.719 0.114 0.717 1
Si6 0.719 0.604 0.886 1
Si7 0.719 0.283 0.396 1
Au1 0.243 0.615 0.079 1
Au2 0.243 0.464 0.385 1
Au3 0.243 0.921 0.536 1
Au4 0.757 0.385 0.921 1
Au5 0.757 0.536 0.615 1
Au6 0.757 0.079 0.464 1
Au7 0.217 0.126 0.267 1
Au8 0.217 0.141 0.874 1
Au9 0.217 0.733 0.859 1
Au10 0.783 0.874 0.733 1
Au11 0.783 0.859 0.126 1
Au12 0.783 0.267 0.141 1
```

Properties
**Total magnetic moment**: 0.0 μB per formula unit
**VASP energy**: -4.328 eV/atom
**Density of states at the Fermi level**: 6.3 states/eV per cell
**Theoretical density**: 12.399 Mg/m³


[2]
Density functional theory data (PBE-GGA) for an optimized crystal structure of InPt3I.

Cell and atoms, written as CIF:
```
data_InPt3I
_cell_length_a 5.035
_cell_length_b 5.035
_cell_length_c 5.035
_cell_angle_alpha 90.00
_cell_angle_beta 90.00
_cell_angle_gamma 90.00
_symmetry_space_group_name_H-M 'P 1'
_symmetry_Int_Tables_number 1
loop_
_symmetry_equiv_pos_as_xyz
'x,y,z'
loop_
_atom_site_label
_atom_site_fract_x
_atom_site_fract_y
_atom_site_fract_z
_atom_site_occupancy
I1 0.000 0.000 0.000 1
Pt1 0.000 0.500 0.000 1
Pt2 0.000 0.000 0.500 1
Pt3 0.500 0.000 0.000 1
In1 0.500 0.500 0.500 1
```

Properties
**Relative energy among the computed polymorphs**: 0 meV/atom
**Total magnetic moment**: 0.0 μB per formula unit
**Density of states at the Fermi level**: 0.2 states/eV per cell
**Theoretical density**: 10.755 Mg/m³